# YZrTl2, optimized geometry, DFT PBE-GGA
# **Formation enthalpy at 0 K**: -0.32 eV/f.u.
# **Total magnetic moment**: 0.00 μB per cell
# **Volume**: 26.5 Å³ per atom
# **Density of states at the Fermi level**: 0.967 states/eV per atom
# **E_tot**: -40.12 eV/cell
data_YZrTl2
_cell_length_a 9.881
_cell_length_b 3.421
_cell_length_c 6.357
_cell_angle_alpha 90.00
_cell_angle_beta 98.99
_cell_angle_gamma 90.00
_symmetry_space_group_name_H-M 'C 1 2/m 1'
_symmetry_Int_Tables_number 12
_symmetry_space_group_name_Hall '-C 2y'
loop_
_atom_site_label
_atom_site_fract_x
_atom_site_fract_y
_atom_site_fract_z
_atom_site_occupancy
Y1 0.000 0.000 0.000 1
Zr1 0.000 0.500 0.500 1
Tl1 0.247 0.000 0.733 1